# 1
A relaxed SrFeAs3 crystal. Source: the Alexandria database, functional PBE.

Geometry as POSCAR:
```
SrFeAs3
1.0
5.526 0.000 0.000
0.000 5.526 0.000
0.000 0.000 5.526
As Fe Sr
3 1 1
Cartesian
0.000 0.000 2.763
2.763 0.000 0.000
0.000 2.763 0.000
2.763 2.763 2.763
0.000 0.000 0.000
```

Summary:
crystal system: cubic
ΔE to the lowest computed polymorph: 1.6313 eV/atom

---

# 2
A relaxed SrFe2As crystal. Source: the Alexandria database, functional PBE.

Geometry as POSCAR:
```
SrFe2As
1.0
-1.422 2.085 -2.067
-1.955 -2.387 -1.063
-4.742 1.677 4.954
Sr Fe As
1 2 1
Cartesian
-2.349 0.831 2.454
-0.073 0.026 0.077
-2.469 0.125 -0.750
-5.598 1.232 2.520
```

Summary:
crystal system: tetragonal

---

# 3
A relaxed SrFe4As12 crystal. Source: the Alexandria database, functional PBE.

Geometry as POSCAR:
```
SrFe4As12
1.0
6.848 0.000 -2.421
-3.424 5.931 -2.421
0.000 0.000 7.264
As Fe Sr
12 4 1
Cartesian
1.708 4.811 -2.416
0.647 2.972 -0.914
2.778 2.959 3.335
4.598 2.046 -1.507
3.536 3.885 -0.005
5.020 0.926 2.416
-1.174 3.885 3.928
0.527 5.005 1.507
-0.112 2.046 2.427
-1.596 5.005 0.005
1.716 1.120 4.837
2.897 0.926 0.914
0.000 0.000 3.632
1.712 2.965 1.211
3.424 0.000 -1.211
-1.712 2.965 -1.211
0.000 0.000 0.000
```

Summary:
crystal system: cubic

---

# 4
A relaxed SrTa2FeAs crystal. Source: the Alexandria database, functional PBE.

Geometry as POSCAR:
```
SrTa2FeAs
1.0
4.782 0.000 0.000
0.000 5.502 0.000
0.000 0.000 4.782
Ta As Sr Fe
2 1 1 1
Cartesian
2.391 0.000 0.000
0.000 0.000 2.391
0.000 0.000 0.000
0.000 2.751 0.000
2.391 2.751 2.391
```

Summary:
crystal system: tetragonal

---

# 5
A relaxed SrFeTcAs2 crystal. Source: the Alexandria database, functional PBE.

Geometry as POSCAR:
```
SrFeTcAs2
1.0
3.970 0.000 0.000
0.000 3.970 0.000
-1.985 -1.985 6.321
As Tc Sr Fe
2 1 1 1
Cartesian
1.985 1.985 1.733
0.000 0.000 4.589
0.000 1.985 3.161
0.000 0.000 0.000
1.985 0.000 3.161
```

Summary:
crystal system: tetragonal

---

# 6
A relaxed SrTi2FeAs crystal. Source: the Alexandria database, functional PBE.

Geometry as POSCAR:
```
SrTi2FeAs
1.0
4.467 0.000 0.000
0.000 5.671 0.000
0.000 0.000 4.467
Ti As Sr Fe
2 1 1 1
Cartesian
2.233 0.000 0.000
0.000 0.000 2.233
2.233 2.835 2.233
0.000 2.835 0.000
0.000 0.000 0.000
```

Summary:
crystal system: tetragonal

---

Table of DFT total energy (eV per atom), in record order: -3.3180; -5.7172; -5.6976; -6.3374; -6.4794; -5.8352
Table of density of states at the Fermi level (states/eV/cell), in record order: 11.32; 3.86; 14.78; 9.78; 3.95; 4.68